# CaAcInAu

Crystalline CaAcInAu at its relaxed geometry (GGA-PBE, Alexandria).

abc: 3.823 3.823 8.003
angles: 90.00 90.00 90.00
Space group P4mm (No. 99)
Unique sites:
Ca: 0.000 0.000 0.000 x1
Ac: 0.000 0.000 0.464 x1
In: 0.500 0.500 0.752 x1
Au: 0.500 0.500 0.215 x1

* energy above the most stable polymorph in this dataset: 0.000 eV per atom
* formation enthalpy at 0 K: -0.61 eV per atom
* E: -14.6 eV/cell

=====

# CaAcIrAu

Crystalline CaAcIrAu at its relaxed geometry (GGA-PBE, Alexandria).

abc: 7.350 7.350 7.350
angles: 90.00 90.00 90.00
Space group F-43m (No. 216)
Unique sites:
Ca: 0.000 0.000 0.000 x4
Ac: 0.000 0.000 0.500 x4
Ir: 0.250 0.250 0.750 x4
Au: 0.250 0.250 0.250 x4

* formation enthalpy at 0 K: -0.57 eV per atom
* E: -82.2 eV/cell

=====

# Ca2Ac2IrAu2

Crystalline Ca2Ac2IrAu2 at its relaxed geometry (GGA-PBE, Alexandria).

abc: 15.558 4.433 6.897
angles: 90.00 116.16 90.00
Space group C2/m (No. 12)
Unique sites:
Ca: 0.000 0.000 0.242 x4
Ac: 0.203 0.500 0.704 x4
Ir: 0.000 0.500 0.500 x2
Au: 0.130 0.500 0.129 x4

* formation enthalpy at 0 K: -0.56 eV per atom
* E: -63.1 eV/cell

=====

# LiCa2Ac2Au4

Crystalline LiCa2Ac2Au4 at its relaxed geometry (GGA-PBE, Alexandria).

abc: 7.364 7.364 8.586
angles: 90.00 90.00 90.00
Space group I4/mmm (No. 139)
Unique sites:
Li: 0.000 0.000 0.000 x2
Ca: 0.000 0.000 0.312 x4
Ac: 0.000 0.500 0.250 x4
Au: 0.245 0.245 0.000 x8

* formation enthalpy at 0 K: -0.61 eV per atom
* E: -65.4 eV/cell

=====

# Li2CaAcAu2

Crystalline Li2CaAcAu2 at its relaxed geometry (GGA-PBE, Alexandria).

abc: 4.6377 4.6377 7.7961
angles: 90.00 90.00 120.00
Space group P-3m1 (No. 164)
Unique sites:
Li: 0.3333 0.6667 0.2987 x2
Ca: 0.0000 0.0000 0.5000 x1
Ac: 0.0000 0.0000 0.0000 x1
Au: 0.3333 0.6667 0.7340 x2

* formation enthalpy at 0 K: -0.55 eV per atom
* E: -19.8 eV/cell

=====

# LiCaAcAu

Crystalline LiCaAcAu at its relaxed geometry (GGA-PBE, Alexandria).

abc: 4.429 4.277 12.676
angles: 90.00 90.00 90.00
Space group Amm2 (No. 38)
Unique sites:
Li: 0.000 0.000 0.000 x2
Ca: 0.500 0.000 0.571 x2
Ac: 0.000 0.000 0.289 x2
Au: 0.500 0.000 0.875 x2

* energy above the most stable polymorph in this dataset: 0.000 eV per atom
* formation enthalpy at 0 K: -0.43 eV per atom
* E: -26.0 eV/cell

=====

# LiCaAcAu

Crystalline LiCaAcAu at its relaxed geometry (GGA-PBE, Alexandria).

abc: 7.668 7.668 7.668
angles: 90.00 90.00 90.00
Space group F-43m (No. 216)
Unique sites:
Li: 0.000 0.000 0.000 x4
Ca: 0.250 0.250 0.750 x4
Ac: 0.250 0.250 0.250 x4
Au: 0.000 0.000 0.500 x4

* energy above the most stable polymorph in this dataset: 0.048 eV per atom
* formation enthalpy at 0 K: -0.38 eV per atom
* E: -51.3 eV/cell

=====

# CaAcMgAu

Crystalline CaAcMgAu at its relaxed geometry (GGA-PBE, Alexandria).

abc: 7.786 7.786 7.786
angles: 90.00 90.00 90.00
Space group F-43m (No. 216)
Unique sites:
Ca: 0.000 0.000 0.000 x4
Ac: 0.000 0.000 0.500 x4
Mg: 0.250 0.250 0.250 x4
Au: 0.250 0.250 0.750 x4

* formation enthalpy at 0 K: -0.38 eV per atom
* E: -50.0 eV/cell

=====

# NaCaAcAu

Crystalline NaCaAcAu at its relaxed geometry (GGA-PBE, Alexandria).

abc: 7.844 7.844 7.844
angles: 90.00 90.00 90.00
Space group F-43m (No. 216)
Unique sites:
Na: 0.000 0.000 0.000 x4
Ca: 0.250 0.250 0.250 x4
Ac: 0.250 0.250 0.750 x4
Au: 0.000 0.000 0.500 x4

* formation enthalpy at 0 K: -0.26 eV per atom
* E: -47.0 eV/cell

=====

# NaCaAc2Au4

Crystalline NaCaAc2Au4 at its relaxed geometry (GGA-PBE, Alexandria).

abc: 5.3401 5.3401 26.1444
angles: 90.00 90.00 120.00
Space group R-3m (No. 166, hexagonal axes)
Unique sites:
Na: 0.0000 0.0000 0.0000 x3
Ca: 0.0000 0.0000 0.5000 x3
Ac: 0.0000 0.0000 0.2538 x6
Au: 0.0000 0.0000 0.1303 x6
Au: 0.0000 0.0000 0.3793 x6

* formation enthalpy at 0 K: -0.71 eV per atom
* E: -91.1 eV/cell

=====

# NaCa2AcAu4

Crystalline NaCa2AcAu4 at its relaxed geometry (GGA-PBE, Alexandria).

abc: 5.2201 5.2201 25.9728
angles: 90.00 90.00 120.00
Space group R-3m (No. 166, hexagonal axes)
Unique sites:
Na: 0.0000 0.0000 0.0000 x3
Ca: 0.0000 0.0000 0.2595 x6
Ac: 0.0000 0.0000 0.5000 x3
Au: 0.0000 0.0000 0.1220 x6
Au: 0.0000 0.0000 0.3783 x6

* formation enthalpy at 0 K: -0.67 eV per atom
* E: -83.7 eV/cell

=====

# Ca2Ac2NiAu2

Crystalline Ca2Ac2NiAu2 at its relaxed geometry (GGA-PBE, Alexandria).

abc: 4.152 7.774 7.911
angles: 116.41 90.03 105.36
Space group P-1 (No. 2)
Unique sites:
Ca: 0.212 0.423 0.275 x2
Ac: 0.463 0.926 0.219 x2
Ni: 0.000 0.000 0.000 x1
Au: 0.118 0.234 0.556 x2

* formation enthalpy at 0 K: -0.52 eV per atom
* E: -28.2 eV/cell

=====

no.,DOS(E_F) (states/eV per atom),magnetic moment (μB per formula unit)
1,0.698,0.00
2,0.274,0.00
3,0.441,0.00
4,0.847,0.00
5,0.805,0.00
6,0.792,0.00
7,0.711,0.00
8,0.850,0.00
9,0.955,0.00
10,0.455,0.00
11,0.724,0.00
12,0.695,0.00